P:
A relaxed structure of Li6Ag2Bi, computed with PBE.

CIF file:
```
data_Li6Ag2Bi
_chemical_formula_sum 'Li12 Ag4 Bi2'
_cell_length_a 14.090
_cell_length_b 7.771
_cell_length_c 3.110
_cell_angle_alpha 90.00
_cell_angle_beta 100.76
_cell_angle_gamma 90.00
_space_group_name_H-M_alt 'C 1 2/m 1'
_space_group_IT_number 12
_space_group_name_Hall '-C 2y'
loop_
_atom_site_label
_atom_site_type_symbol
_atom_site_fract_x
_atom_site_fract_y
_atom_site_fract_z
Li1 Li 0.000 0.167 0.000
Li2 Li 0.170 0.323 0.163
Ag1 Ag 0.151 0.000 0.628
Bi1 Bi 0.000 0.500 0.500
```

Q:
A relaxed structure of Li6Ag2Bi, computed with PBE.

CIF file:
```
data_Li6Ag2Bi
_chemical_formula_sum 'Li6 Ag2 Bi1'
_cell_length_a 7.7757
_cell_length_b 7.7757
_cell_length_c 3.1189
_cell_angle_alpha 90.00
_cell_angle_beta 90.00
_cell_angle_gamma 120.00
_space_group_name_H-M_alt 'P 6/m m m'
_space_group_IT_number 191
_space_group_name_Hall '-P 6 2'
loop_
_atom_site_label
_atom_site_type_symbol
_atom_site_fract_x
_atom_site_fract_y
_atom_site_fract_z
Li1 Li 0.0000 0.3374 0.0000
Ag1 Ag 0.3333 0.6667 0.5000
Bi1 Bi 0.0000 0.0000 0.5000
```

Quick one: least stable of them? P

P:
A relaxed structure of Li4AgBi2, computed with PBE.

CIF file:
```
data_Li4AgBi2
_chemical_formula_sum 'Li4 Ag1 Bi2'
_cell_length_a 4.697
_cell_length_b 4.697
_cell_length_c 6.704
_cell_angle_alpha 90.00
_cell_angle_beta 90.00
_cell_angle_gamma 90.00
_space_group_name_H-M_alt 'P 4/m m m'
_space_group_IT_number 123
_space_group_name_Hall '-P 4 2'
loop_
_atom_site_label
_atom_site_type_symbol
_atom_site_fract_x
_atom_site_fract_y
_atom_site_fract_z
Li1 Li 0.000 0.500 0.229
Ag1 Ag 0.000 0.000 0.500
Bi1 Bi 0.000 0.000 0.000
Bi2 Bi 0.500 0.500 0.500
```

Q:
A relaxed structure of Li4AgBi2, computed with PBE.

CIF file:
```
data_Li4AgBi2
_chemical_formula_sum 'Li8 Ag2 Bi4'
_cell_length_a 7.766
_cell_length_b 5.631
_cell_length_c 8.107
_cell_angle_alpha 90.00
_cell_angle_beta 118.33
_cell_angle_gamma 90.00
_space_group_name_H-M_alt 'P 1 21/m 1'
_space_group_IT_number 11
_space_group_name_Hall '-P 2yb'
loop_
_atom_site_label
_atom_site_type_symbol
_atom_site_fract_x
_atom_site_fract_y
_atom_site_fract_z
Li1 Li 0.012 0.250 0.398
Li2 Li 0.221 0.001 0.162
Li3 Li 0.424 0.750 0.907
Ag1 Ag 0.419 0.250 0.709
Bi1 Bi 0.118 0.250 0.810
Bi2 Bi 0.408 0.750 0.539
```

Quick one: least stable of them? Q

P:
A relaxed structure of Li3AgBi, computed with PBE.

CIF file:
```
data_Li3AgBi
_chemical_formula_sum 'Li3 Ag1 Bi1'
_cell_length_a 4.810
_cell_length_b 4.810
_cell_length_c 4.810
_cell_angle_alpha 90.00
_cell_angle_beta 90.00
_cell_angle_gamma 90.00
_space_group_name_H-M_alt 'P m -3 m'
_space_group_IT_number 221
_space_group_name_Hall '-P 4 2 3'
loop_
_atom_site_label
_atom_site_type_symbol
_atom_site_fract_x
_atom_site_fract_y
_atom_site_fract_z
Li1 Li 0.000 0.000 0.500
Ag1 Ag 0.000 0.000 0.000
Bi1 Bi 0.500 0.500 0.500
```

Q:
A relaxed structure of Li3AgBi, computed with PBE.

CIF file:
```
data_Li3AgBi
_chemical_formula_sum 'Li12 Ag4 Bi4'
_cell_length_a 6.093
_cell_length_b 13.447
_cell_length_c 4.976
_cell_angle_alpha 90.00
_cell_angle_beta 90.00
_cell_angle_gamma 90.00
_space_group_name_H-M_alt 'C 2 2 21'
_space_group_IT_number 20
_space_group_name_Hall 'C 2c 2'
loop_
_atom_site_label
_atom_site_type_symbol
_atom_site_fract_x
_atom_site_fract_y
_atom_site_fract_z
Li1 Li 0.000 0.179 0.250
Li2 Li 0.243 0.355 0.222
Ag1 Ag 0.102 0.000 0.000
Bi1 Bi 0.000 0.338 0.750
```

Quick one: least stable of them? P

P:
A relaxed structure of LiZnAgBi, computed with PBE.

CIF file:
```
data_LiZnAgBi
_chemical_formula_sum 'Li2 Zn2 Ag2 Bi2'
_cell_length_a 9.019
_cell_length_b 4.167
_cell_length_c 4.630
_cell_angle_alpha 90.00
_cell_angle_beta 110.27
_cell_angle_gamma 90.00
_space_group_name_H-M_alt 'C 1 m 1'
_space_group_IT_number 8
_space_group_name_Hall 'C -2y'
loop_
_atom_site_label
_atom_site_type_symbol
_atom_site_fract_x
_atom_site_fract_y
_atom_site_fract_z
Li1 Li 0.000 0.000 0.000
Zn1 Zn 0.249 0.000 0.753
Ag1 Ag 0.015 0.500 0.582
Bi1 Bi 0.256 0.500 0.257
```

Q:
A relaxed structure of LiZnAgBi, computed with PBE.

CIF file:
```
data_LiZnAgBi
_chemical_formula_sum 'Li4 Zn4 Ag4 Bi4'
_cell_length_a 6.887
_cell_length_b 6.887
_cell_length_c 6.887
_cell_angle_alpha 90.00
_cell_angle_beta 90.00
_cell_angle_gamma 90.00
_space_group_name_H-M_alt 'F -4 3 m'
_space_group_IT_number 216
_space_group_name_Hall 'F -4 2 3'
loop_
_atom_site_label
_atom_site_type_symbol
_atom_site_fract_x
_atom_site_fract_y
_atom_site_fract_z
Li1 Li 0.000 0.000 0.000
Zn1 Zn 0.250 0.250 0.750
Ag1 Ag 0.000 0.000 0.500
Bi1 Bi 0.250 0.250 0.250
```

Quick one: least stable of them? Q